# 1
Material: PrGeW
Method: DFT, GGA-PBE
State: optimized geometry

a b c (Å): 6.5609 6.5609 6.5609
angles (deg): 90.00 90.00 90.00
Last column: nearest neighbours and their distance in Å.
Space group F-43m (No. 216)
Inequivalent atoms, fractional coordinates:
Pr 0.0000 0.0000 0.0000 x4  4 Ge 2.84
Ge 0.2500 0.2500 0.2500 x4  4 W 2.84, 4 Pr 2.84
W 0.0000 0.0000 0.5000 x4  4 Ge 2.84

Computed properties:
**Total energy**: -6.9380 eV/atom
**Calculated volume**: 23.54 Å³ per atom
**Energy above the lowest structure with this stoichiometry**: 0 meV per atom

# 2
Material: PrYGe
Method: DFT, GGA-PBE
State: optimized geometry

a b c (Å): 7.1134 7.1134 7.1134
angles (deg): 90.00 90.00 90.00
Last column: nearest neighbours and their distance in Å.
Space group F-43m (No. 216)
Inequivalent atoms, fractional coordinates:
Pr 0.0000 0.0000 0.0000 x4  4 Y 3.08
Y 0.2500 0.2500 0.7500 x4  4 Ge 3.08, 4 Pr 3.08
Ge 0.0000 0.0000 0.5000 x4  4 Y 3.08

Computed properties:
**Total energy**: -4.9924 eV/atom
**Calculated volume**: 29.99 Å³ per atom

# 3
Material: Pr2YGe3
Method: DFT, GGA-PBE
State: optimized geometry

a b c (Å): 6.3876 6.3876 4.7488
angles (deg): 90.00 90.00 120.00
Last column: nearest neighbours and their distance in Å.
Space group P6/mmm (No. 191)
Inequivalent atoms, fractional coordinates:
Pr 0.3333 0.6667 0.0000 x2  6 Ge 3.01
Y 0.0000 0.0000 0.0000 x1  6 Pr 3.69, 12 Ge 3.98
Ge 0.0000 0.5000 0.5000 x3  4 Pr 3.01, 4 Ge 3.19

Computed properties:
**Total energy**: -5.2595 eV/atom
**Calculated volume**: 27.97 Å³ per atom